Computed, not measured: a relaxed Ce2Tm2AlGa4 crystal at the PBE level of DFT.

VASP energy	-4.24	eV per atom

Cell and atoms, written as CIF:
```
data_Ce2Tm2AlGa4
_chemical_formula_sum 'Ce4 Tm4 Al2 Ga8'
_cell_length_a 6.981
_cell_length_b 6.981
_cell_length_c 8.881
_cell_angle_alpha 90.00
_cell_angle_beta 90.00
_cell_angle_gamma 90.00
_symmetry_space_group_name_H-M 'I 4/m m m'
_symmetry_Int_Tables_number 139
_symmetry_space_group_name_Hall '-I 4 2'
loop_
_atom_site_label
_atom_site_fract_x
_atom_site_fract_y
_atom_site_fract_z
_atom_site_occupancy
Ce1 0.000 0.000 0.188 1
Tm1 0.000 0.500 0.250 1
Al1 0.000 0.000 0.500 1
Ga1 0.248 0.248 0.500 1
```

***

Computed, not measured: a relaxed Zn5Si3Ag12 crystal at the PBE level of DFT.

ΔE_f (raw)	0.395	eV per atom

Cell and atoms, written as CIF:
```
data_Zn5Si3Ag12
_chemical_formula_sum 'Zn40 Si24 Ag96'
_cell_length_a 15.134
_cell_length_b 15.134
_cell_length_c 15.134
_cell_angle_alpha 90.00
_cell_angle_beta 90.00
_cell_angle_gamma 90.00
_symmetry_space_group_name_H-M 'I a -3 d'
_symmetry_Int_Tables_number 230
_symmetry_space_group_name_Hall '-I 4bd 2c 3'
loop_
_atom_site_label
_atom_site_fract_x
_atom_site_fract_y
_atom_site_fract_z
_atom_site_occupancy
Zn1 0.000 0.000 0.000 1
Zn2 0.000 0.250 0.375 1
Si1 0.000 0.250 0.125 1
Ag1 0.016 0.085 0.648 1
```

***

Computed, not measured: a relaxed CoAgCl2 crystal at the PBE level of DFT.

ΔE_f (raw)	0.204	eV per atom
distance to the lowest polymorph of the same formula	0.3722	eV/atom

Cell and atoms, written as CIF:
```
data_CoAgCl2
_chemical_formula_sum 'Co4 Ag4 Cl8'
_cell_length_a 6.592
_cell_length_b 6.592
_cell_length_c 6.592
_cell_angle_alpha 90.00
_cell_angle_beta 90.00
_cell_angle_gamma 90.00
_symmetry_space_group_name_H-M 'F m -3 m'
_symmetry_Int_Tables_number 225
_symmetry_space_group_name_Hall '-F 4 2 3'
loop_
_atom_site_label
_atom_site_fract_x
_atom_site_fract_y
_atom_site_fract_z
_atom_site_occupancy
Co1 0.000 0.000 0.000 1
Ag1 0.000 0.000 0.500 1
Cl1 0.250 0.250 0.250 1
```

***

Computed, not measured: a relaxed Sr5Mg24 crystal at the PBE level of DFT.

VASP energy	-1.63	eV per atom

Cell and atoms, written as CIF:
```
data_Sr5Mg24
_chemical_formula_sum 'Sr10 Mg48'
_cell_length_a 11.678
_cell_length_b 11.678
_cell_length_c 11.678
_cell_angle_alpha 90.00
_cell_angle_beta 90.00
_cell_angle_gamma 90.00
_symmetry_space_group_name_H-M 'I -4 3 m'
_symmetry_Int_Tables_number 217
_symmetry_space_group_name_Hall 'I -4 2 3'
loop_
_atom_site_label
_atom_site_fract_x
_atom_site_fract_y
_atom_site_fract_z
_atom_site_occupancy
Sr1 0.000 0.000 0.000 1
Sr2 0.187 0.187 0.813 1
Mg1 0.030 0.359 0.359 1
Mg2 0.091 0.091 0.284 1
```

***

Computed, not measured: a relaxed Sb2I2Br crystal at the PBE level of DFT.

ΔE_f (raw)	0.021	eV per atom
distance to the lowest polymorph of the same formula	0.0000	eV/atom

Cell and atoms, written as CIF:
```
data_Sb2I2Br
_chemical_formula_sum 'Sb4 I4 Br2'
_cell_length_a 8.013
_cell_length_b 8.013
_cell_length_c 4.994
_cell_angle_alpha 90.00
_cell_angle_beta 90.00
_cell_angle_gamma 90.00
_symmetry_space_group_name_H-M 'P 4/m b m'
_symmetry_Int_Tables_number 127
_symmetry_space_group_name_Hall '-P 4 2ab'
loop_
_atom_site_label
_atom_site_fract_x
_atom_site_fract_y
_atom_site_fract_z
_atom_site_occupancy
Sb1 0.130 0.370 0.000 1
I1 0.172 0.672 0.500 1
Br1 0.000 0.000 0.000 1
```

***

Computed, not measured: a relaxed ZrCrCl2 crystal at the PBE level of DFT.

ΔE_f (raw)	-0.282	eV per atom
distance to the lowest polymorph of the same formula	0.4067	eV/atom

Cell and atoms, written as CIF:
```
data_ZrCrCl2
_chemical_formula_sum 'Zr2 Cr2 Cl4'
_cell_length_a 3.173
_cell_length_b 6.056
_cell_length_c 9.643
_cell_angle_alpha 90.00
_cell_angle_beta 90.00
_cell_angle_gamma 90.00
_symmetry_space_group_name_H-M 'C m m m'
_symmetry_Int_Tables_number 65
_symmetry_space_group_name_Hall '-C 2 2'
loop_
_atom_site_label
_atom_site_fract_x
_atom_site_fract_y
_atom_site_fract_z
_atom_site_occupancy
Zr1 0.000 0.000 0.000 1
Cr1 0.000 0.000 0.500 1
Cl1 0.000 0.500 0.212 1
```

***

Computed, not measured: a relaxed FeCuAs2 crystal at the PBE level of DFT.

distance to the lowest polymorph of the same formula	0.2021	eV/atom

Cell and atoms, written as CIF:
```
data_FeCuAs2
_chemical_formula_sum 'Fe2 Cu2 As4'
_cell_length_a 3.663
_cell_length_b 3.663
_cell_length_c 8.936
_cell_angle_alpha 90.00
_cell_angle_beta 90.00
_cell_angle_gamma 90.00
_symmetry_space_group_name_H-M 'I -4 m 2'
_symmetry_Int_Tables_number 119
_symmetry_space_group_name_Hall 'I -4 -2'
loop_
_atom_site_label
_atom_site_fract_x
_atom_site_fract_y
_atom_site_fract_z
_atom_site_occupancy
Fe1 0.000 0.000 0.000 1
Cu1 0.000 0.500 0.250 1
As1 0.000 0.000 0.500 1
As2 0.000 0.500 0.750 1
```

***

Computed, not measured: a relaxed PuMg2Ta3N6 crystal at the PBE level of DFT.

ΔE_f (raw)	-1.120	eV per atom

Cell and atoms, written as CIF:
```
data_PuMg2Ta3N6
_chemical_formula_sum 'Pu2 Mg4 Ta6 N12'
_cell_length_a 5.418
_cell_length_b 9.441
_cell_length_c 5.596
_cell_angle_alpha 90.00
_cell_angle_beta 108.89
_cell_angle_gamma 90.00
_symmetry_space_group_name_H-M 'C 1 2/m 1'
_symmetry_Int_Tables_number 12
_symmetry_space_group_name_Hall '-C 2y'
loop_
_atom_site_label
_atom_site_fract_x
_atom_site_fract_y
_atom_site_fract_z
_atom_site_occupancy
Pu1 0.000 0.000 0.000 1
Mg1 0.000 0.334 0.000 1
Ta1 0.000 0.178 0.500 1
Ta2 0.000 0.500 0.500 1
N1 0.243 0.327 0.743 1
N2 0.246 0.500 0.269 1
```

***

Computed, not measured: a relaxed YTlCd2 crystal at the PBE level of DFT.

distance to the lowest polymorph of the same formula	0.0687	eV/atom

Cell and atoms, written as CIF:
```
data_YTlCd2
_chemical_formula_sum 'Y2 Tl2 Cd4'
_cell_length_a 11.054
_cell_length_b 4.311
_cell_length_c 4.743
_cell_angle_alpha 90.00
_cell_angle_beta 115.31
_cell_angle_gamma 90.00
_symmetry_space_group_name_H-M 'C 1 2/m 1'
_symmetry_Int_Tables_number 12
_symmetry_space_group_name_Hall '-C 2y'
loop_
_atom_site_label
_atom_site_fract_x
_atom_site_fract_y
_atom_site_fract_z
_atom_site_occupancy
Y1 0.000 0.000 0.000 1
Tl1 0.000 0.500 0.500 1
Cd1 0.248 0.000 0.748 1
```

***

Computed, not measured: a relaxed Ba2LiAsPd6 crystal at the PBE level of DFT.

VASP energy	-4.63	eV per atom

Cell and atoms, written as CIF:
```
data_Ba2LiAsPd6
_chemical_formula_sum 'Ba4 Li2 As2 Pd12'
_cell_length_a 11.482
_cell_length_b 6.799
_cell_length_c 6.693
_cell_angle_alpha 90.00
_cell_angle_beta 123.90
_cell_angle_gamma 90.00
_symmetry_space_group_name_H-M 'C 1 2/m 1'
_symmetry_Int_Tables_number 12
_symmetry_space_group_name_Hall '-C 2y'
loop_
_atom_site_label
_atom_site_fract_x
_atom_site_fract_y
_atom_site_fract_z
_atom_site_occupancy
Ba1 0.210 0.000 0.289 1
Li1 0.000 0.000 0.500 1
As1 0.000 0.500 0.000 1
Pd1 0.048 0.293 0.744 1
Pd2 0.245 0.000 0.842 1
```

***

Computed, not measured: a relaxed CaNpHg2O6 crystal at the PBE level of DFT.

ΔE_f (raw)	-1.821	eV per atom

Cell and atoms, written as CIF:
```
data_CaNpHg2O6
_chemical_formula_sum 'Ca2 Np2 Hg4 O12'
_cell_length_a 5.798
_cell_length_b 5.880
_cell_length_c 10.227
_cell_angle_alpha 90.00
_cell_angle_beta 122.84
_cell_angle_gamma 90.00
_symmetry_space_group_name_H-M 'P 1 21/c 1'
_symmetry_Int_Tables_number 14
_symmetry_space_group_name_Hall '-P 2ybc'
loop_
_atom_site_label
_atom_site_fract_x
_atom_site_fract_y
_atom_site_fract_z
_atom_site_occupancy
Ca1 0.000 0.000 0.000 1
Np1 0.500 0.000 0.500 1
Hg1 0.255 0.044 0.754 1
O1 0.156 0.081 0.263 1
O2 0.250 0.664 0.050 1
O3 0.417 0.201 0.075 1
```

***

Computed, not measured: a relaxed Ga8NiIr2 crystal at the PBE level of DFT.

VASP energy	-4.55	eV per atom

Cell and atoms, written as CIF:
```
data_Ga8NiIr2
_chemical_formula_sum 'Ga16 Ni2 Ir4'
_cell_length_a 11.887
_cell_length_b 7.340
_cell_length_c 4.863
_cell_angle_alpha 90.00
_cell_angle_beta 112.68
_cell_angle_gamma 90.00
_symmetry_space_group_name_H-M 'C 1 2/m 1'
_symmetry_Int_Tables_number 12
_symmetry_space_group_name_Hall '-C 2y'
loop_
_atom_site_label
_atom_site_fract_x
_atom_site_fract_y
_atom_site_fract_z
_atom_site_occupancy
Ga1 0.095 0.000 0.268 1
Ga2 0.098 0.216 0.780 1
Ga3 0.166 0.500 0.328 1
Ni1 0.000 0.500 0.500 1
Ir1 0.227 0.500 0.895 1
```

***

What did the first record say?
Computed, not measured: a relaxed Ce2Tm2AlGa4 crystal at the PBE level of DFT.

VASP energy	-4.24	eV per atom

Cell and atoms, written as CIF:
```
data_Ce2Tm2AlGa4
_chemical_formula_sum 'Ce4 Tm4 Al2 Ga8'
_cell_length_a 6.981
_cell_length_b 6.981
_cell_length_c 8.881
_cell_angle_alpha 90.00
_cell_angle_beta 90.00
_cell_angle_gamma 90.00
_symmetry_space_group_name_H-M 'I 4/m m m'
_symmetry_Int_Tables_number 139
_symmetry_space_group_name_Hall '-I 4 2'
loop_
_atom_site_label
_atom_site_fract_x
_atom_site_fract_y
_atom_site_fract_z
_atom_site_occupancy
Ce1 0.000 0.000 0.188 1
Tm1 0.000 0.500 0.250 1
Al1 0.000 0.000 0.500 1
Ga1 0.248 0.248 0.500 1
```

***

Please write out number 1 again, unchanged.
Computed, not measured: a relaxed Ce2Tm2AlGa4 crystal at the PBE level of DFT.

VASP energy	-4.24	eV per atom

Cell and atoms, written as CIF:
```
data_Ce2Tm2AlGa4
_chemical_formula_sum 'Ce4 Tm4 Al2 Ga8'
_cell_length_a 6.981
_cell_length_b 6.981
_cell_length_c 8.881
_cell_angle_alpha 90.00
_cell_angle_beta 90.00
_cell_angle_gamma 90.00
_symmetry_space_group_name_H-M 'I 4/m m m'
_symmetry_Int_Tables_number 139
_symmetry_space_group_name_Hall '-I 4 2'
loop_
_atom_site_label
_atom_site_fract_x
_atom_site_fract_y
_atom_site_fract_z
_atom_site_occupancy
Ce1 0.000 0.000 0.188 1
Tm1 0.000 0.500 0.250 1
Al1 0.000 0.000 0.500 1
Ga1 0.248 0.248 0.500 1
```